Entry 1:
Density functional theory data (GGA-PBE) for an optimized crystal structure of LuZrTl.

Values from the calculation:
E_form   -0.128 eV/atom
SG   I4mm
Energy above the most stable polymorph in this dataset   0.0 kJ/mol of atoms
Magnetic moment   0.0000 μB per atom
Calculated volume   75.5 Å³/f.u.
Fermi-level density of states   0.7315 states/eV per atom

Lattice parameters (Å, degrees): 3.454 3.454 6.779 104.76 104.76 90.00
Positions (direct):
Tl (0.670, 0.670, 0.341)
Lu (0.000, 0.000, 0.000)
Zr (0.329, 0.329, 0.659)

***

Entry 2:
Density functional theory data (GGA-PBE) for an optimized crystal structure of LuZr2Tl.

Values from the calculation:
E_form   -0.080 eV/atom
SG   P4/mmm
Energy above the most stable polymorph in this dataset   0.0 kJ/mol of atoms
Magnetic moment   0.0003 μB per atom
Calculated volume   94.8 Å³/f.u.
Fermi-level density of states   1.2672 states/eV per atom

Lattice parameters (Å, degrees): 4.606 4.537 4.537 90.00 90.00 90.00
Positions (direct):
Tl (0.500, 0.000, 0.000)
Lu (0.500, 0.500, 0.500)
Zr (0.000, 0.000, 0.500)
Zr (0.000, 0.500, 0.000)

***

Entry 3:
Density functional theory data (GGA-PBE) for an optimized crystal structure of Lu2ZrTl.

Values from the calculation:
E_form   -0.090 eV/atom
SG   P4/mmm
Energy above the most stable polymorph in this dataset   5.8 kJ/mol of atoms
Magnetic moment   0.0004 μB per atom
Calculated volume   100.4 Å³/f.u.
Fermi-level density of states   1.2289 states/eV per atom

Lattice parameters (Å, degrees): 4.594 4.675 4.675 90.00 90.00 90.00
Positions (direct):
Tl (0.500, 0.500, 0.500)
Lu (0.000, 0.000, 0.500)
Lu (0.000, 0.500, 0.000)
Zr (0.500, 0.000, 0.000)

***

Entry 4:
Density functional theory data (GGA-PBE) for an optimized crystal structure of Tm3Lu.

Values from the calculation:
E_form   0.031 eV/atom
SG   I4/mmm
Energy above the most stable polymorph in this dataset   3.5 kJ/mol of atoms
Magnetic moment   0.0001 μB per atom
Calculated volume   118.6 Å³/f.u.
Fermi-level density of states   1.4026 states/eV per atom

Lattice parameters (Å, degrees): 4.911 4.911 6.020 114.07 114.07 90.00
Positions (direct):
Lu (0.000, 0.000, 0.000)
Tm (0.750, 0.250, 0.500)
Tm (0.250, 0.750, 0.500)
Tm (0.500, 0.500, 0.000)

***

Entry 5:
Density functional theory data (GGA-PBE) for an optimized crystal structure of Tm3Lu.

Values from the calculation:
E_form   0.139 eV/atom
SG   Fm-3m
Energy above the most stable polymorph in this dataset   13.9 kJ/mol of atoms
Magnetic moment   0.0532 μB per atom
Calculated volume   121.1 Å³/f.u.
Fermi-level density of states   2.5272 states/eV per atom

Lattice parameters (Å, degrees): 5.554 5.554 5.554 60.00 60.00 60.00
Positions (direct):
Lu (0.500, 0.500, 0.500)
Tm (0.000, 0.000, 0.000)
Tm (0.750, 0.750, 0.750)
Tm (0.250, 0.250, 0.250)

***

Entry 6:
Density functional theory data (GGA-PBE) for an optimized crystal structure of TmLu.

Values from the calculation:
E_form   0.051 eV/atom
SG   P2_1/m
Energy above the most stable polymorph in this dataset   0.0 kJ/mol of atoms
Magnetic moment   0.0001 μB per atom
Calculated volume   59.3 Å³/f.u.
Fermi-level density of states   1.9760 states/eV per atom

Lattice parameters (Å, degrees): 3.447 5.376 6.628 90.00 104.86 90.00
Positions (direct):
Lu (0.435, 0.750, 0.868)
Lu (0.565, 0.250, 0.132)
Tm (0.831, 0.250, 0.658)
Tm (0.169, 0.750, 0.342)

***

Entry 7:
Density functional theory data (GGA-PBE) for an optimized crystal structure of Tm3Lu.

Values from the calculation:
E_form   -0.004 eV/atom
SG   Imm2
Energy above the most stable polymorph in this dataset   0.1 kJ/mol of atoms
Magnetic moment   0.0000 μB per atom
Calculated volume   119.8 Å³/f.u.
Fermi-level density of states   1.6195 states/eV per atom

Lattice parameters (Å, degrees): 3.547 6.136 6.547 117.95 105.72 90.00
Positions (direct):
Lu (0.000, 0.001, 0.000)
Tm (0.250, 0.584, 0.501)
Tm (0.500, 0.500, 0.000)
Tm (0.750, 0.083, 0.499)

***

Entry 8:
Density functional theory data (GGA-PBE) for an optimized crystal structure of Tm6Lu.

Values from the calculation:
E_form   1.645 eV/atom
SG   Im-3m
Magnetic moment   0.0000 μB per atom
Calculated volume   262.1 Å³/f.u.
Fermi-level density of states   1.5550 states/eV per atom

Lattice parameters (Å, degrees): 6.983 6.983 6.983 109.47 109.47 109.47
Positions (direct):
Tm (0.250, 0.750, 0.500)
Tm (0.500, 0.750, 0.250)
Tm (0.250, 0.500, 0.750)
Tm (0.750, 0.250, 0.500)
Tm (0.500, 0.250, 0.750)
Tm (0.750, 0.500, 0.250)
Lu (0.000, 0.000, 0.000)

***

Entry 9:
Density functional theory data (GGA-PBE) for an optimized crystal structure of Tm5Lu.

Values from the calculation:
E_form   0.029 eV/atom
SG   Cmmm
Magnetic moment   0.0000 μB per atom
Calculated volume   178.3 Å³/f.u.
Fermi-level density of states   1.2971 states/eV per atom

Lattice parameters (Å, degrees): 4.905 4.919 7.788 108.41 90.00 90.00
Positions (direct):
Lu (0.000, 0.000, 0.000)
Tm (0.500, 0.833, 0.667)
Tm (0.000, 0.666, 0.333)
Tm (0.500, 0.500, 0.000)
Tm (0.000, 0.334, 0.667)
Tm (0.500, 0.167, 0.333)

***

Entry 10:
Density functional theory data (GGA-PBE) for an optimized crystal structure of Tm3Lu.

Values from the calculation:
E_form   -0.005 eV/atom
SG   Pmm2
Energy above the most stable polymorph in this dataset   0.0 kJ/mol of atoms
Magnetic moment   0.0000 μB per atom
Calculated volume   119.8 Å³/f.u.
Fermi-level density of states   1.5922 states/eV per atom

Lattice parameters (Å, degrees): 3.547 5.498 6.142 90.00 90.00 90.00
Positions (direct):
Lu (0.000, 0.000, 0.000)
Tm (0.000, 0.500, 0.333)
Tm (0.500, 0.000, 0.499)
Tm (0.500, 0.500, 0.834)

***

Entry 11:
Density functional theory data (GGA-PBE) for an optimized crystal structure of TmLu2.

Values from the calculation:
E_form   0.034 eV/atom
SG   I4/mmm
Energy above the most stable polymorph in this dataset   0.0 kJ/mol of atoms
Magnetic moment   0.0004 μB per atom
Calculated volume   88.1 Å³/f.u.
Fermi-level density of states   1.3238 states/eV per atom

Lattice parameters (Å, degrees): 3.456 3.456 7.773 102.84 102.84 90.00
Positions (direct):
Lu (0.667, 0.667, 0.334)
Lu (0.333, 0.333, 0.666)
Tm (0.000, 0.000, 0.000)

***

Entry 12:
Density functional theory data (GGA-PBE) for an optimized crystal structure of Tm2Lu.

Values from the calculation:
E_form   0.256 eV/atom
SG   Fd-3m
Energy above the most stable polymorph in this dataset   21.7 kJ/mol of atoms
Magnetic moment   0.0000 μB per atom
Calculated volume   93.5 Å³/f.u.
Fermi-level density of states   1.3744 states/eV per atom

Lattice parameters (Å, degrees): 6.419 6.419 6.419 60.00 60.00 60.00
Positions (direct):
Lu (0.000, 0.000, 0.000)
Lu (0.250, 0.250, 0.250)
Tm (0.125, 0.625, 0.625)
Tm (0.625, 0.125, 0.625)
Tm (0.625, 0.625, 0.625)
Tm (0.625, 0.625, 0.125)

***

Entry 13:
Density functional theory data (GGA-PBE) for an optimized crystal structure of Tm3Lu.

Values from the calculation:
E_form   0.031 eV/atom
SG   Pm-3m
Energy above the most stable polymorph in this dataset   3.5 kJ/mol of atoms
Magnetic moment   0.0000 μB per atom
Calculated volume   118.6 Å³/f.u.
Fermi-level density of states   1.5737 states/eV per atom

Lattice parameters (Å, degrees): 4.914 4.914 4.914 90.00 90.00 90.00
Positions (direct):
Lu (0.000, 0.000, 0.000)
Tm (0.000, 0.500, 0.500)
Tm (0.500, 0.000, 0.500)
Tm (0.500, 0.500, 0.000)

***

Entry 14:
Density functional theory data (GGA-PBE) for an optimized crystal structure of TmLu6.

Values from the calculation:
E_form   1.659 eV/atom
SG   Im-3m
Magnetic moment   0.0018 μB per atom
Calculated volume   265.5 Å³/f.u.
Fermi-level density of states   1.8934 states/eV per atom

Lattice parameters (Å, degrees): 7.013 7.013 7.013 109.47 109.47 109.47
Positions (direct):
Tm (0.000, 0.000, 0.000)
Lu (0.250, 0.750, 0.500)
Lu (0.500, 0.750, 0.250)
Lu (0.250, 0.500, 0.750)
Lu (0.750, 0.250, 0.500)
Lu (0.500, 0.250, 0.750)
Lu (0.750, 0.500, 0.250)

***

Entry 15:
Density functional theory data (GGA-PBE) for an optimized crystal structure of Tm3Lu.

Values from the calculation:
E_form   -0.001 eV/atom
SG   P6_3/mmc
Energy above the most stable polymorph in this dataset   0.4 kJ/mol of atoms
Magnetic moment   0.0001 μB per atom
Calculated volume   119.9 Å³/f.u.
Fermi-level density of states   1.9017 states/eV per atom

Lattice parameters (Å, degrees): 7.092 7.092 5.508 90.00 90.00 120.00
Positions (direct):
Tm (0.833, 0.167, 0.750)
Tm (0.333, 0.167, 0.750)
Tm (0.833, 0.667, 0.750)
Tm (0.167, 0.833, 0.250)
Tm (0.167, 0.333, 0.250)
Tm (0.667, 0.833, 0.250)
Lu (0.667, 0.333, 0.250)
Lu (0.333, 0.667, 0.750)